(1)
# CaDy4Y7

A relaxed CaDy4Y7 crystal (PBE-GGA, Alexandria via LeMat-Bulk).

Structure (POSCAR):
```
CaDy4Y7
1.0
6.4126 -1.8855 2.7819
0.7401 5.8153 2.2358
2.7741 -2.2983 10.8689
Y Dy Ca
7 4 1
Direct
0.9154 0.7166 0.3385 Y
0.0846 0.2834 0.6615 Y
0.6601 0.2253 0.3399 Y
0.7423 0.5008 0.0012 Y
0.5000 0.0000 0.0000 Y
0.2577 0.4992 0.9988 Y
0.3399 0.7747 0.6601 Y
0.5919 0.2807 0.6615 Dy
0.1670 0.2198 0.3327 Dy
0.4081 0.7193 0.3385 Dy
0.8330 0.7802 0.6673 Dy
0.0000 0.0000 0.0000 Ca
```

Computed properties:
DFT formation energy (kJ per mole of atoms): 3
VASP energy (Ry per atom): -0.3998
Magnetic moment (μB per cell): 0.00

---

(2)
# Ca2Dy2Y

A relaxed Ca2Dy2Y crystal (PBE-GGA, Alexandria via LeMat-Bulk).

Structure (POSCAR):
```
Ca2Dy2Y
1.0
9.4701 0.0000 0.0000
0.0000 9.4701 0.0000
0.0000 0.0000 3.8919
Ca Dy Y
4 4 2
Direct
0.1733 0.3267 0.5000 Ca
0.6733 0.1733 0.5000 Ca
0.3267 0.8267 0.5000 Ca
0.8267 0.6733 0.5000 Ca
0.8752 0.3752 0.0000 Dy
0.1248 0.6248 0.0000 Dy
0.3752 0.1248 0.0000 Dy
0.6248 0.8752 0.0000 Dy
0.5000 0.5000 0.0000 Y
0.0000 0.0000 0.0000 Y
```

Computed properties:
DFT formation energy (kJ per mole of atoms): 24
VASP energy (Ry per atom): -0.2709
Magnetic moment (μB per cell): 0.00

---

(3)
# CaDy6Y3

A relaxed CaDy6Y3 crystal (PBE-GGA, Alexandria via LeMat-Bulk).

Structure (POSCAR):
```
CaDy6Y3
1.0
3.5417 0.0000 0.0000
0.0000 11.6493 -2.7175
0.0000 -0.2879 16.0010
Dy Ca Y
12 2 6
Direct
0.7500 0.3487 0.7270 Dy
0.2500 0.6513 0.2730 Dy
0.7500 0.8614 0.8222 Dy
0.7500 0.3829 0.1482 Dy
0.2500 0.6171 0.8518 Dy
0.2500 0.3882 0.5402 Dy
0.7500 0.1638 0.3848 Dy
0.2500 0.8362 0.6152 Dy
0.7500 0.6118 0.4598 Dy
0.2500 0.8825 0.0186 Dy
0.2500 0.1386 0.1778 Dy
0.7500 0.1175 0.9814 Dy
0.7500 0.6328 0.0615 Ca
0.2500 0.3672 0.9385 Ca
0.2500 0.1178 0.5697 Y
0.2500 0.3864 0.3304 Y
0.2500 0.1027 0.7826 Y
0.7500 0.6136 0.6696 Y
0.7500 0.8973 0.2174 Y
0.7500 0.8822 0.4303 Y
```

Computed properties:
DFT formation energy (kJ per mole of atoms): 8
VASP energy (Ry per atom): -0.3541
Magnetic moment (μB per cell): 0.07

---

(4)
# Ca2DyY

A relaxed Ca2DyY crystal (PBE-GGA, Alexandria via LeMat-Bulk).

Structure (POSCAR):
```
Ca2DyY
1.0
5.5361 0.0000 0.0000
0.0000 5.0810 0.0000
0.0000 0.0000 5.0810
Ca Y Dy
2 1 1
Direct
0.0000 0.5000 0.0000 Ca
0.0000 0.0000 0.5000 Ca
0.5000 0.0000 0.0000 Y
0.5000 0.5000 0.5000 Dy
```

Computed properties:
DFT formation energy (kJ per mole of atoms): 17
VASP energy (Ry per atom): -0.2637
Magnetic moment (μB per cell): 0.54

---

(5)
# Ca2DyY4

A relaxed Ca2DyY4 crystal (PBE-GGA, Alexandria via LeMat-Bulk).

Structure (POSCAR):
```
Ca2DyY4
1.0
-2.5970 -0.5818 2.4858
-1.8695 -1.9082 -2.3997
10.0690 -15.2503 4.2825
Ca Y Dy
2 4 1
Direct
0.7944 0.5000 0.5888 Ca
0.2056 0.5000 0.4112 Ca
0.0669 0.5000 0.1337 Y
0.3681 0.0000 0.7362 Y
0.6319 0.0000 0.2638 Y
0.9331 0.5000 0.8663 Y
0.5000 0.0000 0.0000 Dy
```

Computed properties:
DFT formation energy (kJ per mole of atoms): 7
VASP energy (Ry per atom): -0.3567
Magnetic moment (μB per cell): 0.00

---

(6)
# CaDy6Y2

A relaxed CaDy6Y2 crystal (PBE-GGA, Alexandria via LeMat-Bulk).

Structure (POSCAR):
```
CaDy6Y2
1.0
4.7413 -2.4097 2.0446
-0.5116 11.0616 -1.6622
0.1984 -2.9278 11.9680
Ca Dy Y
2 12 4
Direct
0.3971 0.7776 0.1305 Ca
0.6029 0.2224 0.8695 Ca
0.8433 0.1150 0.0217 Dy
0.4877 0.8839 0.6462 Dy
0.9477 0.4384 0.2407 Dy
0.7073 0.5529 0.0956 Dy
0.7370 0.7805 0.7934 Dy
0.0523 0.5616 0.7593 Dy
0.2630 0.2195 0.2066 Dy
0.1567 0.8850 0.9783 Dy
0.1758 0.1066 0.6809 Dy
0.5123 0.1161 0.3538 Dy
0.8242 0.8934 0.3191 Dy
0.2927 0.4471 0.9044 Dy
0.9387 0.2233 0.5346 Y
0.3813 0.5552 0.4240 Y
0.6187 0.4448 0.5760 Y
0.0613 0.7767 0.4654 Y
```

Computed properties:
DFT formation energy (kJ per mole of atoms): 5
VASP energy (Ry per atom): -0.3439
Magnetic moment (μB per cell): 1.60

---

- Among the records above, which one has the lowest VASP energy?
  CaDy4Y7

---

Copy entry 5 word for word.
# Ca2DyY4

A relaxed Ca2DyY4 crystal (PBE-GGA, Alexandria via LeMat-Bulk).

Structure (POSCAR):
```
Ca2DyY4
1.0
-2.5970 -0.5818 2.4858
-1.8695 -1.9082 -2.3997
10.0690 -15.2503 4.2825
Ca Y Dy
2 4 1
Direct
0.7944 0.5000 0.5888 Ca
0.2056 0.5000 0.4112 Ca
0.0669 0.5000 0.1337 Y
0.3681 0.0000 0.7362 Y
0.6319 0.0000 0.2638 Y
0.9331 0.5000 0.8663 Y
0.5000 0.0000 0.0000 Dy
```

Computed properties:
DFT formation energy (kJ per mole of atoms): 7
VASP energy (Ry per atom): -0.3567
Magnetic moment (μB per cell): 0.00